The following is a DFT calculation (PBE) of crystalline Ca4NpPa3N8 at its relaxed geometry. Values from VASP.

```
&SYSTEM
  ibrav = 0, nat = 16, ntyp = 4
/
ATOMIC_SPECIES
N 14.01 N.upf
Ca 40.08 Ca.upf
Pa 231.04 Pa.upf
Np 237.00 Np.upf
ATOMIC_POSITIONS crystal
N 0.758 0.284 0.026
N 0.732 0.716 0.974
N 0.242 0.716 0.483
N 0.262 0.285 0.524
N 0.268 0.284 0.026
N 0.242 0.716 0.974
N 0.758 0.284 0.517
N 0.738 0.715 0.476
Ca 0.000 0.000 0.000
Ca 0.500 0.000 0.000
Ca 0.000 0.000 0.500
Ca 0.500 0.000 0.500
Pa 0.500 0.500 0.000
Pa 0.500 0.500 0.500
Pa 0.000 0.500 0.500
Np 0.000 0.500 0.000
CELL_PARAMETERS angstrom
7.080 0.000 0.000
0.000 7.028 -0.041
-3.540 -3.537 5.008
```

Uncorrected formation energy ... -1372 meV per atom
E ... -0.6339 Ry/atom
Symmetry ... No. 166
Calculated density ... 8.05 Mg/m³
DOS(E_F) ... 15.05 states/eV/cell

The following is a DFT calculation (PBE) of crystalline PrTm2Cu2Ge2 at its relaxed geometry. Values from VASP.

```
&SYSTEM
  ibrav = 0, nat = 7, ntyp = 4
/
ATOMIC_SPECIES
Cu 63.55 Cu.upf
Tm 168.93 Tm.upf
Pr 140.91 Pr.upf
Ge 72.64 Ge.upf
ATOMIC_POSITIONS crystal
Cu 0.591 0.591 0.226
Cu 0.409 0.409 0.774
Tm 0.129 0.129 0.614
Tm 0.871 0.871 0.386
Pr 0.000 0.000 0.000
Ge 0.258 0.258 0.227
Ge 0.742 0.742 0.773
CELL_PARAMETERS angstrom
4.333 0.000 0.000
2.166 3.752 0.000
2.166 1.251 9.184
```

ΔH_f (0 K) ... -486 meV/atom
E ... -0.3628 Ry/atom
Symmetry ... No. 166
Calculated density ... 8.35 Mg/m³
DOS(E_F) ... 3.26 states/eV/cell

The following is a DFT calculation (PBE) of crystalline CeHoSc2 at its relaxed geometry. Values from VASP.

```
&SYSTEM
  ibrav = 0, nat = 4, ntyp = 3
/
ATOMIC_SPECIES
Sc 44.96 Sc.upf
Ho 164.93 Ho.upf
Ce 140.12 Ce.upf
ATOMIC_POSITIONS crystal
Sc 0.250 0.250 0.250
Sc 0.750 0.750 0.750
Ho 0.000 0.000 0.000
Ce 0.500 0.500 0.500
CELL_PARAMETERS angstrom
5.381 0.000 0.000
2.690 4.660 0.000
2.690 1.553 4.394
```

ΔH_f (0 K) ... 91 meV/atom
E ... -0.4191 Ry/atom
Excess energy over the best structure of this formula in the dataset ... 0.10 eV per formula unit
Symmetry ... No. 225
Calculated density ... 5.95 Mg/m³
DOS(E_F) ... 6.70 states/eV/cell

Number 1: total magnetic moment 4.7 Bohr magnetons per cell. Number 2: total magnetic moment 0.0 Bohr magnetons per cell. Number 3: total magnetic moment 0.2 Bohr magnetons per cell.